[1]
Here is a relaxed InCNO2 crystal from the Alexandria database. Energies are from PBE.

For the total magnetic moment, the calculation gives 1.97 μB per formula unit. For the uncorrected formation energy, the calculation gives 1.984 eV per atom. The value obtained for the density of states at the Fermi level is 2.4 states/eV/f.u.

The space group is P4/mmm (No. 123) and the conventional cell measures 4.231, 4.231 and 4.141 Å, with angles of 90.00, 90.00 and 90.00 degrees. Symmetry generates all atoms from In at (0.000, 0.000, 0.000), C at (0.500, 0.500, 0.500), N at (0.000, 0.000, 0.500) and O at (0.000, 0.500, 0.000).



[2]
Here is a relaxed Rb2ErU3O12 crystal from the Alexandria database. Energies are from PBE.

For the total magnetic moment, the calculation gives 0.00 μB per formula unit. For the uncorrected formation energy, the calculation gives -2.900 eV per atom. The value obtained for the density of states at the Fermi level is 14.5 states/eV/f.u.

The space group is R-3m (No. 166, hexagonal axes) and the conventional cell measures 8.0536, 8.0536 and 18.8545 Å, with angles of 90.00, 90.00 and 120.00 degrees. Symmetry generates all atoms from Rb at (0.0000, 0.0000, 0.1232), Er at (0.0000, 0.0000, 0.5000), U at (0.0000, 0.5000, 0.0000), O at (0.0647, 0.5324, 0.1018) and O at (0.0788, 0.5394, 0.3514).



[3]
Here is a relaxed ZrHgPd crystal from the Alexandria database. Energies are from PBE.

For the total magnetic moment, the calculation gives 0.00 μB per formula unit. As for the formation energy: -0.258 eV per atom. The value obtained for the density of states at the Fermi level is 2.8 states/eV/f.u.

The space group is Pmma (No. 51) and the conventional cell measures 5.484, 2.962 and 7.471 Å, with angles of 90.00, 90.00 and 90.00 degrees. Symmetry generates all atoms from Zr at (0.250, 0.000, 0.159), Hg at (0.000, 0.500, 0.500) and Pd at (0.250, 0.500, 0.844).



What is the formula in the third record? ZrHgPd